Record 1
This record from Alexandria describes an optimized crystal structure of KInHg3. The functional is PBE.

Cell and atoms, written as CIF:
```
data_KInHg3
_cell_length_a 7.534
_cell_length_b 7.534
_cell_length_c 13.931
_cell_angle_alpha 90.00
_cell_angle_beta 90.00
_cell_angle_gamma 120.00
_space_group_name_H-M_alt 'P 1'
_space_group_IT_number 1
loop_
_space_group_symop_operation_xyz
'x,y,z'
loop_
_atom_site_label
_atom_site_type_symbol
_atom_site_fract_x
_atom_site_fract_y
_atom_site_fract_z
K1 K 0.000 0.000 0.500
K2 K 0.000 0.000 0.000
K3 K 0.667 0.333 0.750
K4 K 0.333 0.667 0.250
In1 In 0.333 0.667 0.638
In2 In 0.667 0.333 0.138
In3 In 0.667 0.333 0.362
In4 In 0.333 0.667 0.862
Hg1 Hg 0.500 0.500 0.000
Hg2 Hg 0.265 0.132 0.250
Hg3 Hg 0.500 0.500 0.500
Hg4 Hg 0.132 0.265 0.750
Hg5 Hg 0.000 0.500 0.000
Hg6 Hg 0.868 0.132 0.250
Hg7 Hg 0.868 0.735 0.250
Hg8 Hg 0.132 0.868 0.750
Hg9 Hg 0.500 0.000 0.500
Hg10 Hg 0.735 0.868 0.750
Hg11 Hg 0.500 0.000 0.000
Hg12 Hg 0.000 0.500 0.500
```

Summary:
- magnetization (μB per cell) = 0.00
- calculated total energy (eV for the cell shown) = -21.5
- calculated formation energy (meV per atom) = -125
- energy relative to the lowest polymorph listed for this composition (eV per atom) = 0.0401

---

Record 2
This record from Alexandria describes an optimized crystal structure of NdScSn. The functional is PBE.

Cell and atoms, written as CIF:
```
data_NdScSn
_cell_length_a 3.844
_cell_length_b 3.844
_cell_length_c 6.213
_cell_angle_alpha 108.02
_cell_angle_beta 108.02
_cell_angle_gamma 90.00
_space_group_name_H-M_alt 'P 1'
_space_group_IT_number 1
loop_
_space_group_symop_operation_xyz
'x,y,z'
loop_
_atom_site_label
_atom_site_type_symbol
_atom_site_fract_x
_atom_site_fract_y
_atom_site_fract_z
Sc1 Sc 0.638 0.638 0.277
Nd1 Nd 0.946 0.946 0.892
Sn1 Sn 0.266 0.266 0.531
```

Summary:
- magnetization (μB per cell) = 1.57
- calculated total energy (eV for the cell shown) = -16.3
- calculated formation energy (meV per atom) = -390
- energy relative to the lowest polymorph listed for this composition (eV per atom) = 0.2402

---

Record 3
This record from Alexandria describes an optimized crystal structure of KSr2Tl. The functional is PBE.

Cell and atoms, written as CIF:
```
data_KSr2Tl
_cell_length_a 7.522
_cell_length_b 7.522
_cell_length_c 6.834
_cell_angle_alpha 63.43
_cell_angle_beta 63.43
_cell_angle_gamma 34.10
_space_group_name_H-M_alt 'P 1'
_space_group_IT_number 1
loop_
_space_group_symop_operation_xyz
'x,y,z'
loop_
_atom_site_label
_atom_site_type_symbol
_atom_site_fract_x
_atom_site_fract_y
_atom_site_fract_z
Sr1 Sr 0.454 0.454 0.546
Sr2 Sr 0.046 0.046 0.954
K1 K 0.250 0.250 0.250
Tl1 Tl 0.750 0.750 0.750
```

Summary:
- magnetization (μB per cell) = 0.00
- calculated total energy (eV for the cell shown) = -7.1
- calculated formation energy (meV per atom) = -74

---

Record 4
This record from Alexandria describes an optimized crystal structure of Li2ThGa2Au2. The functional is PBE.

Cell and atoms, written as CIF:
```
data_Li2ThGa2Au2
_cell_length_a 4.487
_cell_length_b 4.501
_cell_length_c 8.039
_cell_angle_alpha 106.34
_cell_angle_beta 90.00
_cell_angle_gamma 119.89
_space_group_name_H-M_alt 'P 1'
_space_group_IT_number 1
loop_
_space_group_symop_operation_xyz
'x,y,z'
loop_
_atom_site_label
_atom_site_type_symbol
_atom_site_fract_x
_atom_site_fract_y
_atom_site_fract_z
Ga1 Ga 0.563 0.127 0.692
Ga2 Ga 0.437 0.873 0.308
Li1 Li 0.144 0.288 0.431
Li2 Li 0.856 0.712 0.569
Au1 Au 0.743 0.486 0.228
Au2 Au 0.257 0.514 0.772
Th1 Th 0.000 0.000 0.000
```

Summary:
- magnetization (μB per cell) = 0.00
- calculated total energy (eV for the cell shown) = -27.7
- calculated formation energy (meV per atom) = -553

---

Record 5
This record from Alexandria describes an optimized crystal structure of RuBr2. The functional is PBE.

Cell and atoms, written as CIF:
```
data_RuBr2
_cell_length_a 3.645
_cell_length_b 3.645
_cell_length_c 14.634
_cell_angle_alpha 90.00
_cell_angle_beta 90.00
_cell_angle_gamma 120.00
_space_group_name_H-M_alt 'P 1'
_space_group_IT_number 1
loop_
_space_group_symop_operation_xyz
'x,y,z'
loop_
_atom_site_label
_atom_site_type_symbol
_atom_site_fract_x
_atom_site_fract_y
_atom_site_fract_z
Br1 Br 0.333 0.667 0.869
Br2 Br 0.333 0.667 0.631
Br3 Br 0.667 0.333 0.131
Br4 Br 0.667 0.333 0.369
Ru1 Ru 0.000 0.000 0.750
Ru2 Ru 0.000 0.000 0.250
```

Summary:
- magnetization (μB per cell) = 8.03
- formation energy (no corrections) (eV per atom) = 0.299
- calculated total energy (eV for the cell shown) = -23.4
- energy relative to the lowest polymorph listed for this composition (eV per atom) = 0.3649

---

Record 6
This record from Alexandria describes an optimized crystal structure of Dy2GaSiRh6. The functional is PBE.

Cell and atoms, written as CIF:
```
data_Dy2GaSiRh6
_cell_length_a 6.376
_cell_length_b 6.377
_cell_length_c 6.378
_cell_angle_alpha 60.01
_cell_angle_beta 60.01
_cell_angle_gamma 90.00
_space_group_name_H-M_alt 'P 1'
_space_group_IT_number 1
loop_
_space_group_symop_operation_xyz
'x,y,z'
loop_
_atom_site_label
_atom_site_type_symbol
_atom_site_fract_x
_atom_site_fract_y
_atom_site_fract_z
Rh1 Rh 0.744 0.256 0.000
Rh2 Rh 0.744 0.744 0.000
Rh3 Rh 0.256 0.256 0.488
Rh4 Rh 0.256 0.256 0.000
Rh5 Rh 0.744 0.744 0.512
Rh6 Rh 0.256 0.744 0.000
Dy1 Dy 0.250 0.750 0.500
Dy2 Dy 0.750 0.250 0.500
Ga1 Ga 0.000 0.000 0.000
Si1 Si 0.500 0.500 0.000
```

Summary:
- magnetization (μB per cell) = 0.00
- formation energy (no corrections) (eV per atom) = -0.474
- calculated total energy (eV for the cell shown) = -66.5